# Be5Cr (GGA-PBEsol, relaxed)
# - Density of states at the Fermi level: 1.64 states/eV per cell
# - Volume: 51 Å³/cell
# - Energy relative to the elements: 0 meV/atom
# - Symmetry: No. 65
# - Crystal system: orthorhombic
data_Be5Cr
_chemical_formula_sum 'Be5 Cr1'
_cell_length_a 3.265
_cell_length_b 3.306
_cell_length_c 4.958
_cell_angle_alpha 90.00
_cell_angle_beta 109.22
_cell_angle_gamma 90.00
_space_group_name_H-M_alt 'P 1'
_space_group_IT_number 1
loop_
_space_group_symop_operation_xyz
'x,y,z'
loop_
_atom_site_label
_atom_site_type_symbol
_atom_site_fract_x
_atom_site_fract_y
_atom_site_fract_z
Cr1 Cr 0.500 0.000 0.000
Be1 Be 0.000 0.500 0.000
Be2 Be 0.335 0.500 0.670
Be3 Be 0.665 0.500 0.330
Be4 Be 0.821 0.000 0.642
Be5 Be 0.179 0.000 0.358